## SmTm5Th2 (GGA-PBE)

Data for SmTm5Th2 after structural relaxation.

Unit cell a=3.4923 b=8.7710 c=8.7710 alpha=78.36 beta=78.52 gamma=78.52
Last column: nearest neighbours and their distance in Å.
Element x y z (fractional)
1 Sm 0.0000 0.0000 0.0000  2 Sm 3.49, 4 Th 3.60, 8 Tm 3.88
2 Tm 0.3691 0.4017 0.8601  3 Th 3.32-3.52, 7 Tm 3.44-3.61
3 Tm 0.0000 0.5000 0.5000  2 Th 3.42, 10 Tm 3.49-3.53
4 Tm 0.3691 0.8601 0.4017  3 Th 3.32-3.52, 7 Tm 3.44-3.61
5 Tm 0.6309 0.1399 0.5983  3 Th 3.32-3.52, 7 Tm 3.44-3.61
6 Tm 0.6309 0.5983 0.1399  3 Th 3.32-3.52, 7 Tm 3.44-3.61
7 Th 0.2605 0.2395 0.2395  7 Tm 3.32-3.52, 2 Th 3.49, 2 Sm 3.60
8 Th 0.7395 0.7605 0.7605  7 Tm 3.32-3.52, 2 Th 3.49, 2 Sm 3.60

Summary:
The value obtained for the formation energy is 0.78 eV/f.u. The calculated total energy comes out at -41.14 eV/f.u.